## MoIr3O (PBE with a Hubbard U)

Data for a relaxed structure of MoIr3O.

```
5
Lattice="4.1898 0.0000 0.0000 0.0000 4.1898 0.0000 0.0000 0.0000 4.1898" Properties=species:S:1:pos:R:3 pbc="T T T"
Mo 2.0949 2.0949 2.0949
O 0.0000 0.0000 0.0000
Ir 0.0000 2.0949 0.0000
Ir 2.0949 0.0000 0.0000
Ir 0.0000 0.0000 2.0949
```

Summary:
The density of states at the Fermi level comes out at 6.64 states/eV/cell. As for the theoretical density: 15.55 Mg/m³. Its total energy is -6.83 eV per atom.